# 1
! LiU2Ga6, relaxed, DFT GGA-PBE; values from VASP
! energy relative to the elements = -0.22 eV per atom
! volume = 164.68 Å³ per cell
! SG = P6/mmm (191)
! raw total energy = -44.6 eV for the cell shown
&SYSTEM
  ibrav = 0, nat = 9, ntyp = 3
/
ATOMIC_SPECIES
Li 6.94 Li.upf
U 238.03 U.upf
Ga 69.72 Ga.upf
CELL_PARAMETERS angstrom
-1.488 0.818 -2.327
-2.975 -7.524 -0.743
-6.934 -2.014 3.725
ATOMIC_POSITIONS angstrom
Li 0.000 0.000 0.000
U -3.303 -3.179 0.994
U -6.607 -6.360 1.988
Ga -2.754 -4.677 -1.664
Ga -5.968 -7.767 -0.701
Ga -8.643 -4.044 2.319
Ga -5.003 -5.329 -0.458
Ga -5.430 -0.954 1.356
Ga -6.395 -3.392 1.113

=====

# 2
! LiV3Ga, relaxed, DFT GGA-PBE; values from VASP
! energy relative to the elements = 1.25 eV per atom
! volume = 96.17 Å³ per cell
! SG = Pm-3m (221)
! raw total energy = -26.1 eV for the cell shown
&SYSTEM
  ibrav = 0, nat = 5, ntyp = 3
/
ATOMIC_SPECIES
V 50.94 V.upf
Ga 69.72 Ga.upf
Li 6.94 Li.upf
CELL_PARAMETERS angstrom
4.582 0.000 0.000
0.000 4.582 0.000
0.000 0.000 4.582
ATOMIC_POSITIONS angstrom
V 0.000 2.291 0.000
V 0.000 0.000 2.291
V 2.291 0.000 0.000
Ga 0.000 0.000 0.000
Li 2.291 2.291 2.291

=====

# 3
! LiV3Ga, relaxed, DFT GGA-PBE; values from VASP
! energy relative to the elements = 0.95 eV per atom
! volume = 69.76 Å³ per cell
! SG = Pm-3m (221)
! raw total energy = -27.6 eV for the cell shown
&SYSTEM
  ibrav = 0, nat = 5, ntyp = 3
/
ATOMIC_SPECIES
V 50.94 V.upf
Ga 69.72 Ga.upf
Li 6.94 Li.upf
CELL_PARAMETERS angstrom
-2.410 2.451 2.265
-1.731 -3.307 1.736
2.853 0.064 2.967
ATOMIC_POSITIONS angstrom
V -0.866 -1.653 0.868
V 1.427 0.032 1.483
V -1.205 1.226 1.133
Ga -0.644 -0.396 3.484
Li 0.000 0.000 0.000